(1)
DFT (GGA-PBE) results for a geometry-optimized TlZnPb structure.

a = 5.2896 Å, b = 5.2896 Å, c = 3.3740 Å
α = 90.00°, β = 90.00°, γ = 120.00°
Fractional coordinates of all 3 atoms:
Tl  0.0000  0.0000  0.0000
Zn  0.6667  0.3333  0.4735
Pb  0.3333  0.6667  0.5035

Calculated values
DOS(E_F)   0.67 states/eV per cell
E above lowest polymorph   6.9 kJ/mol of atoms
M_tot   0.000 μB/atom
Formation energy   0.134 eV/atom
Final energy   -2.316 eV/atom

---

(2)
DFT (GGA-PBE) results for a geometry-optimized TlZn2Pb structure.

a = 10.0837 Å, b = 10.0837 Å, c = 10.0837 Å
α = 153.17°, β = 153.17°, γ = 38.31°
Fractional coordinates of all 8 atoms:
Tl  0.0000  0.0000  0.0000
Tl  0.7500  0.2500  0.5000
Zn  0.0978  0.6250  0.9728
Zn  0.3750  0.3478  0.4728
Zn  0.6522  0.1250  0.0272
Zn  0.8750  0.9022  0.5272
Pb  0.2500  0.7500  0.5000
Pb  0.5000  0.5000  0.0000

Calculated values
DOS(E_F)   2.85 states/eV per cell
M_tot   0.000 μB/atom
Formation energy   0.256 eV/atom
Final energy   -1.900 eV/atom

---

(3)
DFT (GGA-PBE) results for a geometry-optimized TlZnPb3 structure.

a = 5.9180 Å, b = 5.9180 Å, c = 5.9180 Å
α = 90.00°, β = 90.00°, γ = 90.00°
Fractional coordinates of all 5 atoms:
Tl  0.0000  0.0000  0.0000
Zn  0.5000  0.5000  0.5000
Pb  0.0000  0.0000  0.5000
Pb  0.0000  0.5000  0.0000
Pb  0.5000  0.0000  0.0000

Calculated values
DOS(E_F)   4.94 states/eV per cell
E above lowest polymorph   42.9 kJ/mol of atoms
M_tot   0.000 μB/atom
Formation energy   0.707 eV/atom
Final energy   -2.246 eV/atom

---

(4)
DFT (GGA-PBE) results for a geometry-optimized TlZn2Pb2 structure.

a = 10.0765 Å, b = 10.0765 Å, c = 10.0765 Å
α = 158.89°, β = 158.89°, γ = 30.03°
Fractional coordinates of all 5 atoms:
Tl  0.0000  0.0000  0.0000
Zn  0.2500  0.7500  0.5000
Zn  0.7500  0.2500  0.5000
Pb  0.3755  0.3755  0.0000
Pb  0.6245  0.6245  0.0000

Calculated values
DOS(E_F)   1.71 states/eV per cell
E above lowest polymorph   0.0 kJ/mol of atoms
M_tot   0.000 μB/atom
Formation energy   0.075 eV/atom
Final energy   -2.391 eV/atom

---

(5)
DFT (GGA-PBE) results for a geometry-optimized TlZn2Pb structure.

a = 9.5111 Å, b = 9.5111 Å, c = 9.5111 Å
α = 21.11°, β = 21.11°, γ = 21.11°
Fractional coordinates of all 4 atoms:
Tl  0.0000  0.0000  0.0000
Zn  0.4773  0.4773  0.4773
Zn  0.7510  0.7510  0.7510
Pb  0.2297  0.2297  0.2297

Calculated values
DOS(E_F)   2.19 states/eV per cell
M_tot   0.000 μB/atom
Formation energy   0.149 eV/atom
Final energy   -2.007 eV/atom

---

(6)
DFT (GGA-PBE) results for a geometry-optimized TlZnPb structure.

a = 7.9787 Å, b = 7.7039 Å, c = 3.4123 Å
α = 81.98°, β = 72.96°, γ = 25.06°
Fractional coordinates of all 3 atoms:
Tl  0.0000  0.0000  0.0000
Zn  0.3485  0.3485  0.6515
Pb  0.6975  0.6975  0.3025

Calculated values
DOS(E_F)   1.35 states/eV per cell
E above lowest polymorph   7.3 kJ/mol of atoms
M_tot   0.000 μB/atom
Formation energy   0.137 eV/atom
Final energy   -2.313 eV/atom

---

(7)
DFT (GGA-PBE) results for a geometry-optimized Tl2Zn2Pb structure.

a = 6.6085 Å, b = 6.6085 Å, c = 6.6085 Å
α = 137.21°, β = 137.21°, γ = 62.11°
Fractional coordinates of all 5 atoms:
Tl  0.2500  0.7500  0.5000
Tl  0.7500  0.2500  0.5000
Zn  0.1065  0.1065  0.0000
Zn  0.8935  0.8935  0.0000
Pb  0.5000  0.5000  0.0000

Calculated values
DOS(E_F)   2.25 states/eV per cell
E above lowest polymorph   7.4 kJ/mol of atoms
M_tot   0.000 μB/atom
Formation energy   0.197 eV/atom
Final energy   -2.000 eV/atom

---

(8)
DFT (GGA-PBE) results for a geometry-optimized TlZn2Pb structure.

a = 5.7391 Å, b = 5.7391 Å, c = 5.5666 Å
α = 110.05°, β = 110.05°, γ = 33.95°
Fractional coordinates of all 4 atoms:
Tl  0.0000  0.0000  0.0000
Zn  0.4486  0.4486  0.4649
Zn  0.7613  0.7613  0.1878
Pb  0.2046  0.2046  0.6516

Calculated values
DOS(E_F)   1.63 states/eV per cell
M_tot   0.000 μB/atom
Formation energy   0.149 eV/atom
Final energy   -2.007 eV/atom

---

(9)
DFT (GGA-PBE) results for a geometry-optimized Tl2ZnPb2 structure.

a = 7.5579 Å, b = 7.5579 Å, c = 5.3634 Å
α = 90.00°, β = 90.00°, γ = 90.00°
Fractional coordinates of all 10 atoms:
Tl  0.1609  0.3391  0.0000
Tl  0.3391  0.8391  0.0000
Tl  0.6609  0.1609  0.0000
Tl  0.8391  0.6609  0.0000
Zn  0.0000  0.0000  0.5000
Zn  0.5000  0.5000  0.5000
Pb  0.1509  0.6509  0.5000
Pb  0.3491  0.1509  0.5000
Pb  0.6509  0.8491  0.5000
Pb  0.8491  0.3491  0.5000

Calculated values
DOS(E_F)   3.96 states/eV per cell
E above lowest polymorph   0.0 kJ/mol of atoms
M_tot   0.000 μB/atom
Formation energy   0.125 eV/atom
Final energy   -2.559 eV/atom

---

(10)
DFT (GGA-PBE) results for a geometry-optimized TlZnPb3 structure.

a = 5.4779 Å, b = 5.4779 Å, c = 5.4779 Å
α = 90.00°, β = 90.00°, γ = 90.00°
Fractional coordinates of all 5 atoms:
Tl  0.0000  0.0000  0.0000
Zn  0.5000  0.5000  0.5000
Pb  0.0000  0.5000  0.5000
Pb  0.5000  0.0000  0.5000
Pb  0.5000  0.5000  0.0000

Calculated values
DOS(E_F)   3.75 states/eV per cell
E above lowest polymorph   0.0 kJ/mol of atoms
M_tot   0.000 μB/atom
Formation energy   0.262 eV/atom
Final energy   -2.691 eV/atom

---

(11)
DFT (GGA-PBE) results for a geometry-optimized Tl2ZnPb2 structure.

a = 7.4747 Å, b = 7.4747 Å, c = 5.2733 Å
α = 90.00°, β = 90.00°, γ = 90.00°
Fractional coordinates of all 10 atoms:
Tl  0.1501  0.3499  0.0000
Tl  0.3499  0.8499  0.0000
Tl  0.6501  0.1501  0.0000
Tl  0.8499  0.6501  0.0000
Zn  0.0000  0.0000  0.0000
Zn  0.5000  0.5000  0.0000
Pb  0.1620  0.6620  0.5000
Pb  0.3380  0.1620  0.5000
Pb  0.6620  0.8380  0.5000
Pb  0.8380  0.3380  0.5000

Calculated values
DOS(E_F)   2.34 states/eV per cell
E above lowest polymorph   4.2 kJ/mol of atoms
M_tot   0.000 μB/atom
Formation energy   0.169 eV/atom
Final energy   -2.516 eV/atom

---

(12)
DFT (GGA-PBE) results for a geometry-optimized TlZnPb structure.

a = 7.2580 Å, b = 7.2580 Å, c = 7.2580 Å
α = 152.83°, β = 152.83°, γ = 38.80°
Fractional coordinates of all 3 atoms:
Tl  0.0000  0.0000  0.0000
Zn  0.6512  0.6512  0.0000
Pb  0.2947  0.2947  0.0000

Calculated values
DOS(E_F)   1.02 states/eV per cell
E above lowest polymorph   5.6 kJ/mol of atoms
M_tot   0.000 μB/atom
Formation energy   0.119 eV/atom
Final energy   -2.330 eV/atom

---

(13)
DFT (GGA-PBE) results for a geometry-optimized TlZn2Pb structure.

a = 8.6587 Å, b = 8.6587 Å, c = 8.6587 Å
α = 24.51°, β = 24.51°, γ = 24.51°
Fractional coordinates of all 4 atoms:
Tl  0.0000  0.0000  0.0000
Zn  0.2496  0.2496  0.2496
Zn  0.7504  0.7504  0.7504
Pb  0.5000  0.5000  0.5000

Calculated values
DOS(E_F)   1.06 states/eV per cell
M_tot   0.000 μB/atom
Formation energy   0.193 eV/atom
Final energy   -1.962 eV/atom

---

(14)
DFT (GGA-PBE) results for a geometry-optimized TlZnPb structure.

a = 4.9289 Å, b = 4.9289 Å, c = 4.9289 Å
α = 60.00°, β = 60.00°, γ = 60.00°
Fractional coordinates of all 3 atoms:
Tl  0.0000  0.0000  0.0000
Zn  0.2500  0.2500  0.2500
Pb  0.5000  0.5000  0.5000

Calculated values
DOS(E_F)   1.31 states/eV per cell
E above lowest polymorph   7.8 kJ/mol of atoms
M_tot   0.000 μB/atom
Formation energy   0.142 eV/atom
Final energy   -2.307 eV/atom

---

(15)
DFT (GGA-PBE) results for a geometry-optimized TlZn2Pb2 structure.

a = 8.8971 Å, b = 8.8971 Å, c = 3.3345 Å
α = 90.00°, β = 90.00°, γ = 90.00°
Fractional coordinates of all 10 atoms:
Tl  0.0000  0.0000  0.0000
Tl  0.5000  0.5000  0.0000
Zn  0.1553  0.3447  0.5000
Zn  0.3447  0.8447  0.5000
Zn  0.6553  0.1553  0.5000
Zn  0.8447  0.6553  0.5000
Pb  0.1418  0.6418  0.0000
Pb  0.3582  0.1418  0.0000
Pb  0.6418  0.8582  0.0000
Pb  0.8582  0.3582  0.0000

Calculated values
DOS(E_F)   3.96 states/eV per cell
E above lowest polymorph   10.1 kJ/mol of atoms
M_tot   0.000 μB/atom
Formation energy   0.180 eV/atom
Final energy   -2.286 eV/atom

---

(16)
DFT (GGA-PBE) results for a geometry-optimized Tl2Zn2Pb structure.

a = 8.7504 Å, b = 8.7504 Å, c = 3.3614 Å
α = 90.00°, β = 90.00°, γ = 90.00°
Fractional coordinates of all 10 atoms:
Tl  0.1422  0.3578  0.0000
Tl  0.3578  0.8578  0.0000
Tl  0.6422  0.1422  0.0000
Tl  0.8578  0.6422  0.0000
Zn  0.1578  0.6578  0.5000
Zn  0.3422  0.1578  0.5000
Zn  0.6578  0.8422  0.5000
Zn  0.8422  0.3422  0.5000
Pb  0.0000  0.0000  0.0000
Pb  0.5000  0.5000  0.0000

Calculated values
DOS(E_F)   5.14 states/eV per cell
E above lowest polymorph   8.3 kJ/mol of atoms
M_tot   0.000 μB/atom
Formation energy   0.208 eV/atom
Final energy   -1.990 eV/atom

---

(17)
DFT (GGA-PBE) results for a geometry-optimized TlZnPb4 structure.

a = 6.5205 Å, b = 6.5205 Å, c = 6.5205 Å
α = 60.00°, β = 60.00°, γ = 60.00°
Fractional coordinates of all 6 atoms:
Tl  0.0000  0.0000  0.0000
Zn  0.7500  0.7500  0.7500
Pb  0.3751  0.3751  0.3751
Pb  0.3751  0.3751  0.8747
Pb  0.3751  0.8747  0.3751
Pb  0.8747  0.3751  0.3751

Calculated values
DOS(E_F)   2.67 states/eV per cell
M_tot   0.000 μB/atom
Formation energy   0.222 eV/atom
Final energy   -2.857 eV/atom

---

(18)
DFT (GGA-PBE) results for a geometry-optimized Tl2Zn2Pb structure.

a = 7.9698 Å, b = 7.9698 Å, c = 3.9745 Å
α = 90.00°, β = 90.00°, γ = 90.00°
Fractional coordinates of all 10 atoms:
Tl  0.1772  0.3228  0.0000
Tl  0.3228  0.8228  0.0000
Tl  0.6772  0.1772  0.0000
Tl  0.8228  0.6772  0.0000
Zn  0.1183  0.6183  0.5000
Zn  0.3817  0.1183  0.5000
Zn  0.6183  0.8817  0.5000
Zn  0.8817  0.3817  0.5000
Pb  0.0000  0.0000  0.5000
Pb  0.5000  0.5000  0.5000

Calculated values
DOS(E_F)   5.10 states/eV per cell
E above lowest polymorph   0.2 kJ/mol of atoms
M_tot   0.000 μB/atom
Formation energy   0.123 eV/atom
Final energy   -2.075 eV/atom

---

(19)
DFT (GGA-PBE) results for a geometry-optimized Zr3TlPb structure.

a = 5.3435 Å, b = 5.3435 Å, c = 5.3435 Å
α = 90.00°, β = 90.00°, γ = 90.00°
Fractional coordinates of all 5 atoms:
Zr  0.0000  0.0000  0.5000
Zr  0.0000  0.5000  0.0000
Zr  0.5000  0.0000  0.0000
Tl  0.0000  0.0000  0.0000
Pb  0.5000  0.5000  0.5000

Calculated values
DOS(E_F)   4.86 states/eV per cell
E above lowest polymorph   81.5 kJ/mol of atoms
M_tot   0.255 μB/atom
Formation energy   0.904 eV/atom
Final energy   -5.439 eV/atom

---

(20)
DFT (GGA-PBE) results for a geometry-optimized Zr2TlPb structure.

a = 3.2623 Å, b = 5.2447 Å, c = 5.8063 Å
α = 90.00°, β = 102.65°, γ = 90.00°
Fractional coordinates of all 4 atoms:
Zr  0.0000  0.0000  0.0000
Zr  0.1626  0.5000  0.5285
Tl  0.6227  0.0000  0.4905
Pb  0.5309  0.5000  0.0453

Calculated values
DOS(E_F)   3.00 states/eV per cell
E above lowest polymorph   7.7 kJ/mol of atoms
M_tot   0.000 μB/atom
Formation energy   -0.021 eV/atom
Final energy   -5.814 eV/atom

---

(21)
DFT (GGA-PBE) results for a geometry-optimized Zr2TlPb structure.

a = 5.9078 Å, b = 5.9078 Å, c = 5.9078 Å
α = 136.93°, β = 136.93°, γ = 62.54°
Fractional coordinates of all 4 atoms:
Zr  0.0000  0.0000  0.0000
Zr  0.7500  0.2500  0.5000
Tl  0.2500  0.7500  0.5000
Pb  0.5000  0.5000  0.0000

Calculated values
DOS(E_F)   2.77 states/eV per cell
E above lowest polymorph   0.6 kJ/mol of atoms
M_tot   0.000 μB/atom
Formation energy   -0.095 eV/atom
Final energy   -5.888 eV/atom

---

(22)
DFT (GGA-PBE) results for a geometry-optimized Zr6TlPb3 structure.

a = 8.7213 Å, b = 8.7213 Å, c = 7.4609 Å
α = 90.00°, β = 90.00°, γ = 116.53°
Fractional coordinates of all 20 atoms:
Zr  0.0052  0.5632  0.5024
Zr  0.0499  0.9501  0.5000
Zr  0.2227  0.3846  0.3004
Zr  0.2602  0.7398  0.2133
Zr  0.3846  0.2227  0.8004
Zr  0.4368  0.9948  0.5024
Zr  0.5632  0.0052  0.0024
Zr  0.6154  0.7773  0.3004
Zr  0.7398  0.2602  0.7133
Zr  0.7773  0.6154  0.8004
Zr  0.9501  0.0499  0.0000
Zr  0.9948  0.4368  0.0024
Tl  0.1830  0.8170  0.8162
Tl  0.8170  0.1830  0.3162
Pb  0.1062  0.3022  0.6770
Pb  0.3022  0.1062  0.1770
Pb  0.4260  0.5740  0.9581
Pb  0.5740  0.4260  0.4581
Pb  0.6978  0.8938  0.6770
Pb  0.8938  0.6978  0.1770

Calculated values
DOS(E_F)   20.83 states/eV per cell
M_tot   0.000 μB/atom
Formation energy   -0.003 eV/atom
Final energy   -6.481 eV/atom

---

(23)
DFT (GGA-PBE) results for a geometry-optimized Zr2Tl2Pb structure.

a = 7.6367 Å, b = 7.6367 Å, c = 4.4289 Å
α = 90.00°, β = 90.00°, γ = 90.00°
Fractional coordinates of all 10 atoms:
Zr  0.1499  0.3501  0.0000
Zr  0.3501  0.8501  0.0000
Zr  0.6499  0.1499  0.0000
Zr  0.8501  0.6499  0.0000
Tl  0.1540  0.6540  0.5000
Tl  0.3460  0.1540  0.5000
Tl  0.6540  0.8460  0.5000
Tl  0.8460  0.3460  0.5000
Pb  0.0000  0.0000  0.0000
Pb  0.5000  0.5000  0.0000

Calculated values
DOS(E_F)   4.58 states/eV per cell
E above lowest polymorph   0.0 kJ/mol of atoms
M_tot   0.000 μB/atom
Formation energy   0.028 eV/atom
Final energy   -5.080 eV/atom

---

(24)
DFT (GGA-PBE) results for a geometry-optimized Zr2TlPb structure.

a = 6.4682 Å, b = 6.4682 Å, c = 6.4682 Å
α = 103.70°, β = 103.70°, γ = 121.75°
Fractional coordinates of all 8 atoms:
Zr  0.1244  0.6250  0.9994
Zr  0.3750  0.3744  0.4994
Zr  0.6256  0.1250  0.0006
Zr  0.8750  0.8756  0.5006
Tl  0.0000  0.0000  0.0000
Tl  0.7500  0.2500  0.5000
Pb  0.2500  0.7500  0.5000
Pb  0.5000  0.5000  0.0000

Calculated values
DOS(E_F)   4.88 states/eV per cell
E above lowest polymorph   20.0 kJ/mol of atoms
M_tot   0.000 μB/atom
Formation energy   0.106 eV/atom
Final energy   -5.686 eV/atom

---

(25)
DFT (GGA-PBE) results for a geometry-optimized ZrTlPb2 structure.

a = 5.9585 Å, b = 5.9585 Å, c = 5.6974 Å
α = 98.12°, β = 98.12°, γ = 32.39°
Fractional coordinates of all 4 atoms:
Zr  0.0000  0.0000  0.0000
Tl  0.5000  0.5000  0.5000
Pb  0.2599  0.2599  0.7630
Pb  0.7402  0.7402  0.2370

Calculated values
DOS(E_F)   2.80 states/eV per cell
E above lowest polymorph   8.2 kJ/mol of atoms
M_tot   0.000 μB/atom
Formation energy   0.062 eV/atom
Final energy   -4.520 eV/atom

---

(26)
DFT (GGA-PBE) results for a geometry-optimized ZrTlPb2 structure.

a = 11.7096 Å, b = 11.7096 Å, c = 11.7096 Å
α = 16.38°, β = 16.38°, γ = 16.38°
Fractional coordinates of all 4 atoms:
Zr  0.0000  0.0000  0.0000
Tl  0.7414  0.7414  0.7414
Pb  0.2561  0.2561  0.2561
Pb  0.4936  0.4936  0.4936

Calculated values
DOS(E_F)   2.45 states/eV per cell
E above lowest polymorph   9.4 kJ/mol of atoms
M_tot   0.000 μB/atom
Formation energy   0.076 eV/atom
Final energy   -4.507 eV/atom

---

(27)
DFT (GGA-PBE) results for a geometry-optimized ZrTlPb2 structure.

a = 5.2286 Å, b = 6.1909 Å, c = 6.1909 Å
α = 32.49°, β = 90.00°, γ = 90.00°
Fractional coordinates of all 4 atoms:
Zr  0.0000  0.0000  0.0000
Tl  0.5000  0.8493  0.8493
Pb  0.0000  0.2668  0.2668
Pb  0.5000  0.5800  0.5800

Calculated values
DOS(E_F)   1.97 states/eV per cell
E above lowest polymorph   5.4 kJ/mol of atoms
M_tot   0.000 μB/atom
Formation energy   0.034 eV/atom
Final energy   -4.549 eV/atom